Entry from Alexandria via LeMat-Bulk: crystalline NdYAl6 at its relaxed geometry (PBE).

Properties
- D(E_F): 0.41 states/eV/atom
- E: -4.65 eV per atom
- SG: P-6m2 (187)
- Energy of formation: -438.6 meV/atom
- Crystal system: hexagonal

Lattice parameters (Å, degrees): 4.657 6.375 6.375 119.94 90.00 90.00
Positions (direct):
Al 0.500 0.895 0.105
Al 0.000 0.035 0.392
Al 0.000 0.608 0.392
Al 0.500 0.461 0.106
Al 0.500 0.894 0.539
Al 0.000 0.608 0.965
Nd 0.500 0.416 0.584
Y 0.000 0.083 0.917